Entry 1:
The following is a GGA-PBE calculation of crystalline Zn3Ag5Au at its relaxed geometry, from Alexandria.

Cell: 7.268 5.734 7.854 Å, 90.00 103.23 90.00°
Atoms (fractional coordinates):
Ag 0.213 0.258 0.791
Ag 0.787 0.758 0.709
Zn 0.428 0.501 0.129
Ag 0.500 0.000 0.000
Zn 0.000 0.000 0.000
Zn 0.000 0.500 0.500
Au 0.000 0.500 0.000
Zn 0.572 0.499 0.871
Ag 0.500 0.500 0.500
Au 0.000 0.000 0.500
Ag 0.213 0.242 0.291
Zn 0.428 0.999 0.629
Ag 0.787 0.258 0.209
Ag 0.213 0.742 0.791
Ag 0.787 0.742 0.209
Ag 0.213 0.758 0.291
Zn 0.572 0.001 0.371
Ag 0.787 0.242 0.709

## Properties
The formation energy is 0.020 eV per atom. The value obtained for the offset from the most stable computed form is 0 kJ/mol of formula units. As for the density of states at the Fermi level: 4.66 states/eV per cell. As for the uncorrected energy: -0.173 Ry/atom.

=====

Entry 2:
The following is a GGA-PBE calculation of crystalline MnCo2Sn at its relaxed geometry, from Alexandria.

Cell: 3.770 3.770 9.132 Å, 78.09 78.09 90.00°
Each line ends with the local moment (μB).
Atoms (fractional coordinates):
Mn 0.250 0.750 0.500  3.02
Sn 0.000 0.000 0.000  -0.13
Co 0.182 0.625 0.250  1.43
Co 0.568 0.125 0.250  1.43
Mn 0.500 0.500 0.000  3.02
Co 0.875 0.818 0.750  1.43
Co 0.375 0.432 0.750  1.43
Sn 0.750 0.250 0.500  -0.13

## Properties
The formation energy is 0.484 eV per atom. As for the density of states at the Fermi level: 9.07 states/eV per cell. As for the uncorrected energy: -0.468 Ry/atom.

=====

Entry 3:
The following is a GGA-PBE calculation of crystalline Si7Tc at its relaxed geometry, from Alexandria.

Cell: 5.379 5.379 5.379 Å, 60.00 60.00 60.00°
Atoms (fractional coordinates):
Si 0.000 0.500 0.500
Si 0.500 0.000 0.000
Si 0.500 0.500 0.500
Si 0.500 0.500 0.000
Tc 0.000 0.000 0.000
Si 0.500 0.000 0.500
Si 0.000 0.000 0.500
Si 0.000 0.500 0.000

## Properties
As for the density of states at the Fermi level: 6.94 states/eV per cell. For the uncorrected formation energy, the calculation gives 0.33 eV/atom. As for the uncorrected energy: -0.420 Ry/atom.

=====

Entry 4:
The following is a GGA-PBE calculation of crystalline Ta2Mo3W6 at its relaxed geometry, from Alexandria.

Cell: 4.729 2.617 15.156 Å, 94.95 98.98 90.00°
Atoms (fractional coordinates):
W 0.364 0.864 0.728
Ta 0.454 0.454 0.907
W 0.724 0.724 0.449
Mo 0.000 0.000 0.000
W 0.096 0.596 0.193
Ta 0.546 0.546 0.093
Mo 0.814 0.814 0.628
W 0.636 0.136 0.272
Mo 0.186 0.186 0.372
W 0.276 0.276 0.551
W 0.904 0.404 0.807

## Properties
The formation energy is 0.395 eV per atom. As for the density of states at the Fermi level: 8.56 states/eV per cell. As for the uncorrected energy: -0.866 Ry/atom.

=====

Entry 5:
The following is a GGA-PBE calculation of crystalline TbUBi2 at its relaxed geometry, from Alexandria.

Cell: 4.436 4.436 7.941 Å, 73.78 73.78 60.00°
Each line ends with the local moment (μB).
Atoms (fractional coordinates):
Bi 0.251 0.251 0.248  -0.06
U 0.500 0.500 0.500  2.60
Bi 0.749 0.749 0.752  -0.06
Tb 0.000 0.000 0.000  -0.02

## Properties
The formation energy is -0.356 eV per atom. The value obtained for the offset from the most stable computed form is 0 kJ/mol of formula units. As for the density of states at the Fermi level: 3.91 states/eV per cell. As for the uncorrected energy: -0.461 Ry/atom.

=====

Entry 6:
The following is a GGA-PBE calculation of crystalline Pr7Tm2 at its relaxed geometry, from Alexandria.

Cell: 6.346 6.346 8.983 Å, 90.00 90.00 120.00°
Atoms (fractional coordinates):
Pr 0.334 0.000 0.672
Pr 0.000 0.000 0.000
Pr 0.000 0.334 0.672
Pr 0.334 0.334 0.328
Tm 0.667 0.333 0.000
Pr 0.666 0.000 0.328
Tm 0.333 0.667 0.000
Pr 0.000 0.666 0.328
Pr 0.666 0.666 0.672

## Properties
The formation energy is 0.020 eV per atom. As for the density of states at the Fermi level: 13.53 states/eV per cell. As for the uncorrected energy: -0.345 Ry/atom.

=====

Entry 7:
The following is a GGA-PBE calculation of crystalline Nb3InH at its relaxed geometry, from Alexandria.

Cell: 11.413 8.379 8.379 Å, 109.45 137.82 42.18°
Atoms (fractional coordinates):
In 0.750 0.497 0.997
Nb 0.244 0.750 0.738
H 0.126 0.523 0.337
Nb 0.251 0.624 0.380
In 0.750 0.000 0.500
Nb 0.751 0.120 0.876
Nb 0.749 0.376 0.620
In 0.250 0.503 0.003
Nb 0.249 0.880 0.124
Nb 0.756 0.250 0.262
H 0.626 0.163 0.977
Nb 0.744 0.762 0.750
Nb 0.247 0.378 0.624
Nb 0.253 0.124 0.878
Nb 0.747 0.876 0.122
H 0.374 0.837 0.023
In 0.250 0.000 0.500
H 0.874 0.477 0.663
Nb 0.256 0.238 0.250
Nb 0.753 0.622 0.376

## Properties
As for the density of states at the Fermi level: 13.73 states/eV per cell. As for the uncorrected energy: -0.537 Ry/atom.

=====

Entry 8:
The following is a GGA-PBE calculation of crystalline YH2RhN at its relaxed geometry, from Alexandria.

Cell: 3.431 3.431 4.405 Å, 90.00 90.00 90.00°
Atoms (fractional coordinates):
Y 0.500 0.500 0.500
H 0.500 0.000 0.000
N 0.000 0.000 0.500
Rh 0.000 0.000 0.000
H 0.000 0.500 0.000

## Properties
As for the density of states at the Fermi level: 1.10 states/eV per cell. As for the uncorrected energy: -0.471 Ry/atom.

=====

Entry 9:
The following is a GGA-PBE calculation of crystalline TeC3 at its relaxed geometry, from Alexandria.

Cell: 5.526 5.526 5.526 Å, 141.83 65.78 128.61°
Atoms (fractional coordinates):
C 0.000 0.500 0.500
Te 0.500 0.000 0.500
C 0.860 0.860 0.000
C 0.140 0.140 0.000

## Properties
The value obtained for the offset from the most stable computed form is 616 kJ/mol of formula units. As for the density of states at the Fermi level: 1.62 states/eV per cell. For the uncorrected formation energy, the calculation gives 2.56 eV/atom. As for the uncorrected energy: -0.378 Ry/atom.

=====

Entry 10:
The following is a GGA-PBE calculation of crystalline BaNaDyTl at its relaxed geometry, from Alexandria.

Cell: 5.800 5.800 5.800 Å, 60.00 60.00 60.00°
Atoms (fractional coordinates):
Dy 0.750 0.750 0.750
Tl 0.000 0.000 0.000
Ba 0.250 0.250 0.250
Na 0.500 0.500 0.500

## Properties
The formation energy is -0.017 eV per atom. As for the density of states at the Fermi level: 4.59 states/eV per cell. As for the uncorrected energy: -0.189 Ry/atom.

=====

Entry 11:
The following is a GGA-PBE calculation of crystalline PrEr2TmS4 at its relaxed geometry, from Alexandria.

Cell: 3.867 6.788 6.868 Å, 71.25 90.00 90.00°
Atoms (fractional coordinates):
S 0.500 0.755 0.259
S 0.500 0.245 0.741
Tm 0.000 0.500 0.500
S 0.000 0.764 0.734
Er 0.000 0.000 0.000
Pr 0.500 0.500 0.000
S 0.000 0.236 0.266
Er 0.500 0.000 0.500

## Properties
As for the density of states at the Fermi level: 4.45 states/eV per cell. For the uncorrected formation energy, the calculation gives -1.95 eV/atom. As for the uncorrected energy: -0.464 Ry/atom.

=====

Entry 12:
The following is a GGA-PBE calculation of crystalline ZrPb3 at its relaxed geometry, from Alexandria.

Cell: 6.526 6.526 6.526 Å, 149.96 127.89 61.33°
Atoms (fractional coordinates):
Zr 0.664 0.000 0.664
Pb 0.747 0.737 0.010
Pb 0.150 0.500 0.650
Pb 0.272 0.263 0.010

## Properties
The formation energy is 0.049 eV per atom. As for the density of states at the Fermi level: 2.46 states/eV per cell. As for the uncorrected energy: -0.358 Ry/atom.

=====

Entry 13:
The following is a GGA-PBE calculation of crystalline SrPF6 at its relaxed geometry, from Alexandria.

Cell: 5.418 5.424 5.851 Å, 62.39 62.27 59.85°
Each line ends with the local moment (μB).
Atoms (fractional coordinates):
F 0.197 0.935 0.213  0.08
F 0.065 0.345 0.788  0.08
P 0.000 0.000 0.000  0.34
F 0.935 0.655 0.212  0.08
F 0.346 0.802 0.788  0.08
Sr 0.500 0.500 0.500  0.02
F 0.803 0.065 0.787  0.08
F 0.654 0.198 0.212  0.08

## Properties
As for the density of states at the Fermi level: 1.80 states/eV per cell. For the uncorrected formation energy, the calculation gives -2.75 eV/atom. As for the uncorrected energy: -0.370 Ry/atom.

=====

Entry 14:
The following is a GGA-PBE calculation of crystalline La2Pm2Th3 at its relaxed geometry, from Alexandria.

Cell: 3.723 4.917 13.756 Å, 90.00 97.78 90.00°
Atoms (fractional coordinates):
Th 0.436 0.500 0.872
Th 0.000 0.000 0.000
Pm 0.302 0.500 0.604
Pm 0.698 0.500 0.396
La 0.129 0.000 0.257
Th 0.564 0.500 0.128
La 0.871 0.000 0.743

## Properties
The formation energy is 0.193 eV per atom. As for the density of states at the Fermi level: 11.66 states/eV per cell. As for the uncorrected energy: -0.423 Ry/atom.

=====

Entry 15:
The following is a GGA-PBE calculation of crystalline K2Cu2Ag at its relaxed geometry, from Alexandria.

Cell: 6.970 6.970 5.284 Å, 90.00 90.00 90.00°
Atoms (fractional coordinates):
Cu 0.124 0.376 0.000
Cu 0.876 0.624 0.000
K 0.317 0.183 0.500
K 0.183 0.683 0.500
Cu 0.376 0.876 0.000
Cu 0.624 0.124 0.000
Ag 0.500 0.500 0.000
K 0.683 0.817 0.500
K 0.817 0.317 0.500
Ag 0.000 0.000 0.000

## Properties
The formation energy is 0.318 eV per atom. The value obtained for the offset from the most stable computed form is 20 kJ/mol of formula units. As for the density of states at the Fermi level: 4.32 states/eV per cell. As for the uncorrected energy: -0.171 Ry/atom.

=====

Entry 16:
The following is a GGA-PBE calculation of crystalline Pr6Sm3Ho2 at its relaxed geometry, from Alexandria.

Cell: 4.810 4.810 17.507 Å, 97.89 97.89 90.00°
Atoms (fractional coordinates):
Pr 0.881 0.381 0.762
Sm 0.194 0.194 0.389
Ho 0.455 0.455 0.911
Pr 0.706 0.706 0.411
Sm 0.000 0.000 0.000
Pr 0.381 0.881 0.762
Sm 0.806 0.806 0.611
Pr 0.119 0.619 0.238
Pr 0.294 0.294 0.589
Pr 0.619 0.119 0.238
Ho 0.545 0.545 0.089

## Properties
The formation energy is 0.280 eV per atom. The value obtained for the offset from the most stable computed form is 283 kJ/mol of formula units. As for the density of states at the Fermi level: 16.91 states/eV per cell. As for the uncorrected energy: -0.327 Ry/atom.

=====

Entry 17:
The following is a GGA-PBE calculation of crystalline NaTiIn at its relaxed geometry, from Alexandria.

Cell: 4.984 4.984 11.126 Å, 90.00 90.00 120.00°
Each line ends with the local moment (μB).
Atoms (fractional coordinates):
In 0.000 0.000 0.250  0.06
Na 0.333 0.667 0.250  -0.01
Ti 0.000 0.000 0.000  1.74
In 0.000 0.000 0.750  0.06
Na 0.667 0.333 0.750  -0.01
Ti 0.000 0.000 0.500  1.75

## Properties
The formation energy is 1.207 eV per atom. The value obtained for the offset from the most stable computed form is 362 kJ/mol of formula units. As for the density of states at the Fermi level: 10.30 states/eV per cell. As for the uncorrected energy: -0.204 Ry/atom.

=====

Entry 18:
The following is a GGA-PBE calculation of crystalline La2Sm5HoTm at its relaxed geometry, from Alexandria.

Cell: 5.688 10.525 10.774 Å, 90.00 90.00 105.68°
Atoms (fractional coordinates):
Sm 0.702 0.405 0.204
La 0.887 0.773 0.235
Sm 0.518 0.036 0.242
Sm 0.298 0.595 0.704
Sm 0.984 0.969 0.520
Sm 0.016 0.031 0.020
La 0.113 0.227 0.735
Sm 0.279 0.557 0.311
Ho 0.200 0.400 0.011
Tm 0.592 0.184 0.963
Sm 0.385 0.770 0.021
Sm 0.482 0.964 0.742
Sm 0.721 0.443 0.811
La 0.117 0.233 0.317
Sm 0.615 0.230 0.521
Tm 0.408 0.816 0.463
La 0.883 0.767 0.817
Ho 0.800 0.600 0.511

## Properties
The formation energy is 0.130 eV per atom. As for the density of states at the Fermi level: 25.58 states/eV per cell. As for the uncorrected energy: -0.338 Ry/atom.

=====

Entry 19:
The following is a GGA-PBE calculation of crystalline Al2GaW at its relaxed geometry, from Alexandria.

Cell: 4.309 3.866 3.669 Å, 90.01 90.00 90.00°
Atoms (fractional coordinates):
Al 0.500 0.470 0.433
Al 0.000 0.970 0.433
Ga 0.000 0.470 0.933
W 0.500 0.970 0.933

## Properties
The formation energy is 0.118 eV per atom. As for the density of states at the Fermi level: 2.41 states/eV per cell. As for the uncorrected energy: -0.422 Ry/atom.

=====

Entry 20:
The following is a GGA-PBE calculation of crystalline CsPb4Au3 at its relaxed geometry, from Alexandria.

Cell: 5.045 5.045 9.598 Å, 90.00 90.00 90.00°
Atoms (fractional coordinates):
Au 0.000 0.000 0.000
Au 0.500 0.500 0.355
Pb 0.000 0.500 0.175
Pb 0.500 0.000 0.825
Pb 0.000 0.500 0.825
Pb 0.500 0.000 0.175
Au 0.500 0.500 0.645
Cs 0.000 0.000 0.500

## Properties
The formation energy is -0.141 eV per atom. As for the density of states at the Fermi level: 3.33 states/eV per cell. As for the uncorrected energy: -0.245 Ry/atom.